PrUMnO6: relaxed, PBE with a Hubbard U.

Cell lengths 5.8304, 5.8304, 4.4362 Å; angles 90.00, 90.00, 120.00 degrees
Positions (direct):
Pr: 0.0000 0.0000 0.0000
U: 0.6667 0.3333 0.0000
Mn: 0.3333 0.6667 0.5000
O: 0.3709 0.0149 0.7561
O: 0.3709 0.3560 0.2439
O: 0.6440 0.0149 0.2439
O: 0.6440 0.6291 0.7561
O: 0.9851 0.3560 0.7561
O: 0.9851 0.6291 0.2439

Results
Space-group type: No. 149
V: 131 Å³ per cell
Magnetic moment: 0.444 μB/atom
E_tot: -8.4102 eV/atom